[1]
The following is a DFT calculation (PBE) of Ba2InTcN6 after structural relaxation.

Cell and atoms, written as POSCAR:
```
Ba2InTcN6
1.0
-2.357 3.370 4.245
-5.404 -1.019 -2.184
-4.237 -2.192 3.500
N Ba Tc In
6 2 1 1
Direct
0.266 0.264 0.970
0.263 0.733 0.502
0.734 0.736 0.030
0.737 0.267 0.498
0.734 0.735 0.501
0.266 0.265 0.499
0.750 0.250 0.000
0.250 0.750 0.000
0.500 0.500 0.500
0.000 0.000 0.500
```

Results
**Symmetry**: P-1 (2)
**Uncorrected energy**: -6.2942 eV/atom
**Theoretical density**: 6.5 g/cm³


[2]
The following is a DFT calculation (PBE) of BaSmF4 after structural relaxation.

Cell and atoms, written as POSCAR:
```
BaSmF4
1.0
-0.321 -4.150 -0.948
3.360 -0.831 2.498
-6.713 -1.435 8.553
F Ba Sm
8 2 2
Direct
0.000 0.000 0.500
0.000 0.000 0.196
0.500 0.000 0.664
0.500 0.500 0.500
0.500 0.500 0.196
0.000 0.500 0.336
0.000 0.000 0.804
0.500 0.500 0.804
0.000 0.500 0.627
0.500 0.000 0.373
0.000 0.500 0.133
0.500 0.000 0.867
```

Results
**Symmetry**: P4/nmm (129)
**Uncorrected energy**: -5.9220 eV/atom
**Theoretical density**: 6.0 g/cm³


[3]
The following is a DFT calculation (PBE) of Y4FePC2 after structural relaxation.

Cell and atoms, written as POSCAR:
```
Y4FePC2
1.0
3.640 0.000 0.000
-1.820 3.152 0.000
0.000 0.000 13.872
P Y C Fe
1 4 2 1
Direct
0.000 0.000 0.500
0.667 0.333 0.640
0.667 0.333 0.360
0.000 0.000 0.163
0.000 0.000 0.837
0.333 0.667 0.744
0.333 0.667 0.256
0.667 0.333 0.000
```

Results
**Symmetry**: P-6m2 (187)
**Uncorrected energy**: -7.5287 eV/atom
**Theoretical density**: 4.9 g/cm³


[4]
The following is a DFT calculation (PBE) of ZnSnHg2 after structural relaxation.

Cell and atoms, written as POSCAR:
```
ZnSnHg2
1.0
-2.138 -4.673 -0.046
0.729 -3.198 3.956
-3.888 -1.078 3.183
Hg Zn Sn
2 1 1
Direct
0.750 0.750 0.750
0.000 0.000 0.000
0.250 0.250 0.250
0.500 0.500 0.500
```

Results
**Symmetry**: F-43m (216)
**Uncorrected energy**: -1.2976 eV/atom
**Theoretical density**: 10.1 g/cm³


[5]
The following is a DFT calculation (PBE) of Pr3Mg3Tl2Cd after structural relaxation.

Cell and atoms, written as POSCAR:
```
Pr3Mg3Tl2Cd
1.0
-2.625 6.895 -2.416
-1.591 -6.407 -4.085
-3.995 -0.629 2.544
Pr Tl Mg Cd
3 2 3 1
Direct
0.578 0.000 0.000
0.422 0.422 0.000
0.000 0.578 0.000
0.667 0.333 0.500
0.333 0.667 0.500
0.762 0.762 0.500
0.238 0.000 0.500
0.000 0.238 0.500
0.000 0.000 0.000
```

Results
**Symmetry**: P-62m (189)
**Uncorrected energy**: -3.0847 eV/atom
**Theoretical density**: 6.8 g/cm³


[6]
The following is a DFT calculation (PBE) of TbZr3C2S2 after structural relaxation.

Cell and atoms, written as POSCAR:
```
TbZr3C2S2
1.0
3.486 0.000 0.000
-1.743 3.019 0.000
0.000 0.000 12.495
C Zr S Tb
2 3 2 1
Direct
0.667 0.333 0.014
0.667 0.333 0.497
0.333 0.667 0.399
0.000 0.000 0.595
0.333 0.667 0.108
0.000 0.000 0.254
0.333 0.667 0.737
0.000 0.000 0.897
```

Results
**Symmetry**: P3m1 (156)
**Uncorrected energy**: -8.4167 eV/atom
**Theoretical density**: 6.6 g/cm³